# 1
A relaxed PrNd2Sm4Ho crystal, computed with PBE.

Geometry as POSCAR:
```
PrNd2Sm4Ho
1.0
9.4730 -0.0187 -1.7115
-0.0253 9.4730 -1.7115
-6.0306 -6.0349 8.3772
Ho Nd Sm Pr
2 4 8 2
Direct
0.0000 0.0000 0.0000
0.5000 0.5000 0.5000
0.5000 0.0000 0.5000
0.0000 0.0000 0.5000
0.5000 0.5000 0.0000
0.5000 0.0000 0.0000
0.2307 0.2299 0.4761
0.7693 0.7701 0.5239
0.2449 0.7563 0.0007
0.7437 0.2552 0.4993
0.2701 0.2693 0.0239
0.7299 0.7307 0.9761
0.2563 0.7448 0.5007
0.7552 0.2437 0.9993
0.0000 0.5000 0.0000
0.0000 0.5000 0.5000
```

For the density of states at the Fermi level, the calculation gives 19.9 states/eV/f.u. The value obtained for the electronic total energy is -0.1594 hartree per atom. Its space group is C2/c, No. 15.

=====

# 2
A relaxed Pr2Nd4Sm2Ho crystal, computed with PBE.

Geometry as POSCAR:
```
Pr2Nd4Sm2Ho
1.0
-2.9936 -2.1032 0.4975
0.6912 -0.0409 -9.7149
5.4911 -6.7304 4.5882
Pr Sm Nd Ho
2 2 4 1
Direct
0.3349 0.6697 0.0014
0.6651 0.3303 0.9986
0.1476 0.2952 0.6667
0.8524 0.7048 0.3333
0.8147 0.6294 0.6674
0.5180 0.0361 0.3308
0.1853 0.3706 0.3326
0.4820 0.9639 0.6692
0.0000 0.0000 0.0000
```

For the density of states at the Fermi level, the calculation gives 11.7 states/eV/f.u. The value obtained for the electronic total energy is -0.1737 hartree per atom. Its space group is C2/m, No. 12.

=====

# 3
A relaxed Pr2Nd2SmHo crystal, computed with PBE.

Geometry as POSCAR:
```
Pr2Nd2SmHo
1.0
-1.5581 1.6729 5.3111
-2.0354 -6.6700 1.5038
9.1908 -2.0510 3.3423
Pr Nd Sm Ho
4 4 2 2
Direct
0.0000 0.2576 0.1745
0.0000 0.7576 0.8255
0.5000 0.0076 0.0001
0.5000 0.5076 0.9999
0.0000 0.7575 0.1657
0.0000 0.2575 0.8343
0.5000 0.7577 0.6670
0.5000 0.2577 0.3330
0.5000 0.2576 0.6605
0.5000 0.7576 0.3395
0.0000 0.5076 0.5000
0.0000 0.0076 0.5000
```

For the density of states at the Fermi level, the calculation gives 9.1 states/eV/f.u. The value obtained for the electronic total energy is -0.1719 hartree per atom. Its space group is Pmma, No. 51.

=====

# 4
A relaxed Pr4NdSmHo2 crystal, computed with PBE.

Geometry as POSCAR:
```
Pr4NdSmHo2
1.0
-0.3330 1.4324 3.3595
-4.3170 -4.3879 1.4430
7.1423 -8.6516 4.3967
Ho Pr Sm Nd
2 4 1 1
Direct
0.5000 0.0000 0.5000
0.0000 0.0000 0.0000
0.5000 0.2490 0.7508
0.0000 0.7520 0.7476
0.0000 0.2480 0.2524
0.5000 0.7510 0.2492
0.0000 0.5000 0.5000
0.5000 0.5000 0.0000
```

For the density of states at the Fermi level, the calculation gives 11.3 states/eV/f.u. The value obtained for the electronic total energy is -0.1729 hartree per atom. Its space group is P2/m, No. 10.

=====

# 5
A relaxed PrNd2SmHo2 crystal, computed with PBE.

Geometry as POSCAR:
```
PrNd2SmHo2
1.0
3.4286 0.0000 0.0000
0.0000 6.6145 0.0000
0.0000 0.0000 18.3142
Nd Ho Sm Pr
4 4 2 2
Direct
0.5000 0.2815 0.3113
0.0000 0.7815 0.1887
0.5000 0.7185 0.6887
0.0000 0.2185 0.8113
0.0000 0.2837 0.1468
0.0000 0.7163 0.8532
0.5000 0.2163 0.6468
0.5000 0.7837 0.3532
0.0000 0.0000 0.5000
0.5000 0.5000 0.0000
0.0000 0.0000 0.0000
0.5000 0.5000 0.5000
```

For the density of states at the Fermi level, the calculation gives 10.4 states/eV/f.u. The value obtained for the electronic total energy is -0.1632 hartree per atom. Its space group is Pnnm, No. 58.

=====

# 6
A relaxed PrNdSm2Ho5 crystal, computed with PBE.

Geometry as POSCAR:
```
PrNdSm2Ho5
1.0
-2.1199 -8.2539 -2.0139
5.8360 0.0938 -6.5275
3.5838 1.5044 9.0991
Ho Pr Sm Nd
10 2 4 2
Direct
0.6575 0.1575 0.7296
0.1575 0.0720 0.7296
0.0720 0.5720 0.7296
0.8425 0.9280 0.2704
0.3425 0.8425 0.2704
0.5720 0.6575 0.7296
0.9280 0.4280 0.2704
0.0000 0.0000 0.0000
0.4280 0.3425 0.2704
0.5000 0.5000 0.0000
0.2500 0.2500 0.5000
0.7500 0.7500 0.5000
0.8833 0.6167 0.0000
0.1167 0.3833 0.0000
0.6167 0.1167 0.0000
0.3833 0.8833 0.0000
0.2500 0.7500 0.5000
0.7500 0.2500 0.5000
```

For the density of states at the Fermi level, the calculation gives 9.9 states/eV/f.u. The value obtained for the electronic total energy is -0.1616 hartree per atom. Its space group is I4/mcm, No. 140.